<i>
Compound: CeEu2Mg
Source: Alexandria
Functional: PBE
Structure: optimized geometry

Cell lengths 3.814, 3.814, 9.428 Å; angles 90.00, 90.00, 90.00 degrees
Space group P4/mmm (No. 123)
Inequivalent atoms, fractional coordinates:
Ce 0.000 0.000 0.000
Eu 0.500 0.500 0.271
Mg 0.000 0.000 0.500

Density   5.7 Mg/m³

<ii>
Compound: CeEu2Mg
Source: Alexandria
Functional: PBE
Structure: optimized geometry

Cell lengths 8.056, 8.056, 8.056 Å; angles 90.00, 90.00, 90.00 degrees
Space group Fm-3m (No. 225)
Inequivalent atoms, fractional coordinates:
Ce 0.000 0.000 0.000
Eu 0.250 0.250 0.250
Mg 0.000 0.000 0.500

Density   6.0 Mg/m³

On energetic grounds, <i> is preferred over the next structure by 57 meV per atom.